{
  "formula": "Sm3ThH",
  "functional": "GGA-PBE",
  "state": "relaxed",
  "n_ef_per_ev_cell": 4.9,
  "sg": "Pm-3m (221)",
  "final_energy_ev_per_atom": -5.12,
  "total_magnetization_mub_per_fu": 0.00,
  "lattice": [[5.088, 0.000, 0.000], [0.000, 5.088, 0.000], [0.000, 0.000, 5.088]],
  "species": ["Sm", "Sm", "Sm", "Th", "H"],
  "fractional_positions": [[0.000, 0.000, 0.500], [0.000, 0.500, 0.000], [0.500, 0.000, 0.000], [0.500, 0.500, 0.500], [0.000, 0.000, 0.000]]
}